# ScPO2 (PBE-GGA, optimized geometry)
# Space group: No. 122
data_ScPO2
_symmetry_space_group_name_H-M 'P 1'
_symmetry_Int_Tables_number 1
_symmetry_space_group_name_Hall 'P 1'
_cell_length_a 5.233
_cell_length_b 5.233
_cell_length_c 5.859
_cell_angle_alpha 63.48
_cell_angle_beta 63.48
_cell_angle_gamma 90.00
loop_
_atom_site_label
_atom_site_type_symbol
_atom_site_fract_x
_atom_site_fract_y
_atom_site_fract_z
Sc1 Sc 0.750 0.250 0.500
O1 O 0.062 0.625 0.250
P1 P 0.250 0.750 0.500
Sc2 Sc 0.000 0.000 0.000
P2 P 0.500 0.500 0.000
O2 O 0.875 0.938 0.750
O3 O 0.375 0.312 0.750
O4 O 0.688 0.125 0.250

# ScPO2 (PBE-GGA, optimized geometry)
# Space group: No. 166
data_ScPO2
_symmetry_space_group_name_H-M 'P 1'
_symmetry_Int_Tables_number 1
_symmetry_space_group_name_Hall 'P 1'
_cell_length_a 6.379
_cell_length_b 6.379
_cell_length_c 6.379
_cell_angle_alpha 29.21
_cell_angle_beta 29.21
_cell_angle_gamma 29.21
loop_
_atom_site_label
_atom_site_type_symbol
_atom_site_fract_x
_atom_site_fract_y
_atom_site_fract_z
Sc1 Sc 0.000 0.000 0.000
O1 O 0.888 0.888 0.888
P1 P 0.500 0.500 0.500
O2 O 0.112 0.112 0.112

# ScPO2 (PBE-GGA, optimized geometry)
# Space group: No. 166
data_ScPO2
_symmetry_space_group_name_H-M 'P 1'
_symmetry_Int_Tables_number 1
_symmetry_space_group_name_Hall 'P 1'
_cell_length_a 6.352
_cell_length_b 6.352
_cell_length_c 6.352
_cell_angle_alpha 28.47
_cell_angle_beta 28.47
_cell_angle_gamma 28.47
loop_
_atom_site_label
_atom_site_type_symbol
_atom_site_fract_x
_atom_site_fract_y
_atom_site_fract_z
O1 O 0.892 0.892 0.892
Sc1 Sc 0.500 0.500 0.500
O2 O 0.108 0.108 0.108
P1 P 0.000 0.000 0.000

# Sc4PSe2O (PBE-GGA, optimized geometry)
# Space group: No. 10
data_Sc4PSe2O
_symmetry_space_group_name_H-M 'P 1'
_symmetry_Int_Tables_number 1
_symmetry_space_group_name_Hall 'P 1'
_cell_length_a 3.653
_cell_length_b 6.285
_cell_length_c 6.542
_cell_angle_alpha 108.81
_cell_angle_beta 90.00
_cell_angle_gamma 90.00
loop_
_atom_site_label
_atom_site_type_symbol
_atom_site_fract_x
_atom_site_fract_y
_atom_site_fract_z
Sc1 Sc 0.500 0.779 0.796
Sc2 Sc 0.000 0.242 0.792
Se1 Se 0.500 0.000 0.500
Sc3 Sc 0.000 0.758 0.208
Sc4 Sc 0.500 0.221 0.204
Se2 Se 0.000 0.500 0.500
O1 O 0.000 0.000 0.000
P1 P 0.500 0.500 0.000

# ScPSeO2 (PBE-GGA, optimized geometry)
# Space group: No. 123
# Relative energy among the computed polymorphs, eV per atom: 0.000
data_ScPSeO2
_symmetry_space_group_name_H-M 'P 1'
_symmetry_Int_Tables_number 1
_symmetry_space_group_name_Hall 'P 1'
_cell_length_a 3.891
_cell_length_b 3.891
_cell_length_c 6.457
_cell_angle_alpha 90.00
_cell_angle_beta 90.00
_cell_angle_gamma 90.00
loop_
_atom_site_label
_atom_site_type_symbol
_atom_site_fract_x
_atom_site_fract_y
_atom_site_fract_z
O1 O 0.000 0.500 0.000
Sc1 Sc 0.000 0.000 0.000
Se1 Se 0.500 0.500 0.500
P1 P 0.000 0.000 0.500
O2 O 0.500 0.000 0.000

# ScPSeO2 (PBE-GGA, optimized geometry)
# Space group: No. 123
# Relative energy among the computed polymorphs, eV per atom: 0.249
data_ScPSeO2
_symmetry_space_group_name_H-M 'P 1'
_symmetry_Int_Tables_number 1
_symmetry_space_group_name_Hall 'P 1'
_cell_length_a 3.899
_cell_length_b 3.899
_cell_length_c 4.862
_cell_angle_alpha 90.00
_cell_angle_beta 90.00
_cell_angle_gamma 90.00
loop_
_atom_site_label
_atom_site_type_symbol
_atom_site_fract_x
_atom_site_fract_y
_atom_site_fract_z
O1 O 0.500 0.000 0.000
Sc1 Sc 0.500 0.500 0.500
P1 P 0.000 0.000 0.500
O2 O 0.000 0.500 0.000
Se1 Se 0.000 0.000 0.000

# ScSiPO2 (PBE-GGA, optimized geometry)
# Space group: No. 123
# Relative energy among the computed polymorphs, eV per atom: 0.000
data_ScSiPO2
_symmetry_space_group_name_H-M 'P 1'
_symmetry_Int_Tables_number 1
_symmetry_space_group_name_Hall 'P 1'
_cell_length_a 3.572
_cell_length_b 3.572
_cell_length_c 4.874
_cell_angle_alpha 90.00
_cell_angle_beta 90.00
_cell_angle_gamma 90.00
loop_
_atom_site_label
_atom_site_type_symbol
_atom_site_fract_x
_atom_site_fract_y
_atom_site_fract_z
Si1 Si 0.000 0.000 0.000
Sc1 Sc 0.500 0.500 0.500
O1 O 0.500 0.000 0.000
O2 O 0.000 0.500 0.000
P1 P 0.000 0.000 0.500

# ScSiPO2 (PBE-GGA, optimized geometry)
# Space group: No. 123
# Relative energy among the computed polymorphs, eV per atom: 0.745
data_ScSiPO2
_symmetry_space_group_name_H-M 'P 1'
_symmetry_Int_Tables_number 1
_symmetry_space_group_name_Hall 'P 1'
_cell_length_a 3.913
_cell_length_b 5.501
_cell_length_c 3.913
_cell_angle_alpha 90.00
_cell_angle_beta 90.00
_cell_angle_gamma 90.00
loop_
_atom_site_label
_atom_site_type_symbol
_atom_site_fract_x
_atom_site_fract_y
_atom_site_fract_z
O1 O 0.000 0.000 0.500
Si1 Si 0.500 0.500 0.500
Sc1 Sc 0.000 0.000 0.000
P1 P 0.000 0.500 0.000
O2 O 0.500 0.000 0.000

# SmScPO (PBE-GGA, optimized geometry)
# Space group: No. 129
data_SmScPO
_symmetry_space_group_name_H-M 'P 1'
_symmetry_Int_Tables_number 1
_symmetry_space_group_name_Hall 'P 1'
_cell_length_a 4.199
_cell_length_b 4.199
_cell_length_c 8.711
_cell_angle_alpha 90.00
_cell_angle_beta 90.00
_cell_angle_gamma 90.00
loop_
_atom_site_label
_atom_site_type_symbol
_atom_site_fract_x
_atom_site_fract_y
_atom_site_fract_z
Sc1 Sc 0.000 0.000 0.000
Sc2 Sc 0.500 0.500 0.000
Sm1 Sm 0.500 0.000 0.620
O1 O 0.000 0.000 0.500
P1 P 0.500 0.000 0.176
P2 P 0.000 0.500 0.824
O2 O 0.500 0.500 0.500
Sm2 Sm 0.000 0.500 0.380

# ScSnP2O (PBE-GGA, optimized geometry)
# Space group: No. 123
# Relative energy among the computed polymorphs, eV per atom: 0.340
data_ScSnP2O
_symmetry_space_group_name_H-M 'P 1'
_symmetry_Int_Tables_number 1
_symmetry_space_group_name_Hall 'P 1'
_cell_length_a 5.063
_cell_length_b 5.063
_cell_length_c 3.936
_cell_angle_alpha 90.00
_cell_angle_beta 90.00
_cell_angle_gamma 90.00
loop_
_atom_site_label
_atom_site_type_symbol
_atom_site_fract_x
_atom_site_fract_y
_atom_site_fract_z
P1 P 0.000 0.500 0.000
Sc1 Sc 0.500 0.500 0.500
Sn1 Sn 0.000 0.000 0.000
P2 P 0.500 0.000 0.000
O1 O 0.000 0.000 0.500

# ScSnP2O (PBE-GGA, optimized geometry)
# Space group: No. 123
# Relative energy among the computed polymorphs, eV per atom: 0.000
data_ScSnP2O
_symmetry_space_group_name_H-M 'P 1'
_symmetry_Int_Tables_number 1
_symmetry_space_group_name_Hall 'P 1'
_cell_length_a 5.170
_cell_length_b 5.170
_cell_length_c 3.881
_cell_angle_alpha 90.00
_cell_angle_beta 90.00
_cell_angle_gamma 90.00
loop_
_atom_site_label
_atom_site_type_symbol
_atom_site_fract_x
_atom_site_fract_y
_atom_site_fract_z
Sn1 Sn 0.500 0.500 0.500
O1 O 0.000 0.000 0.500
P1 P 0.500 0.000 0.000
Sc1 Sc 0.000 0.000 0.000
P2 P 0.000 0.500 0.000

# SrScPO2 (PBE-GGA, optimized geometry)
# Space group: No. 123
# Relative energy among the computed polymorphs, eV per atom: 0.000
data_SrScPO2
_symmetry_space_group_name_H-M 'P 1'
_symmetry_Int_Tables_number 1
_symmetry_space_group_name_Hall 'P 1'
_cell_length_a 4.224
_cell_length_b 4.224
_cell_length_c 5.102
_cell_angle_alpha 90.00
_cell_angle_beta 90.00
_cell_angle_gamma 90.00
loop_
_atom_site_label
_atom_site_type_symbol
_atom_site_fract_x
_atom_site_fract_y
_atom_site_fract_z
Sc1 Sc 0.000 0.000 0.000
Sr1 Sr 0.500 0.500 0.500
O1 O 0.500 0.000 0.000
O2 O 0.000 0.500 0.000
P1 P 0.000 0.000 0.500

# SrScP2O8 (PBE-GGA, optimized geometry)
# Space group: No. 147
data_SrScP2O8
_symmetry_space_group_name_H-M 'P 1'
_symmetry_Int_Tables_number 1
_symmetry_space_group_name_Hall 'P 1'
_cell_length_a 5.289
_cell_length_b 5.289
_cell_length_c 7.130
_cell_angle_alpha 90.00
_cell_angle_beta 90.00
_cell_angle_gamma 120.00
loop_
_atom_site_label
_atom_site_type_symbol
_atom_site_fract_x
_atom_site_fract_y
_atom_site_fract_z
O1 O 0.825 0.173 0.311
O2 O 0.333 0.667 0.976
Sr1 Sr 0.000 0.000 0.000
Sc1 Sc 0.000 0.000 0.500
O3 O 0.667 0.333 0.024
O4 O 0.175 0.827 0.689
P1 P 0.333 0.667 0.759
O5 O 0.652 0.825 0.689
O6 O 0.348 0.175 0.311
O7 O 0.827 0.652 0.311
P2 P 0.667 0.333 0.241
O8 O 0.173 0.348 0.689

# SrScP2O (PBE-GGA, optimized geometry)
# Space group: No. 123
# Relative energy among the computed polymorphs, eV per atom: 1.286
data_SrScP2O
_symmetry_space_group_name_H-M 'P 1'
_symmetry_Int_Tables_number 1
_symmetry_space_group_name_Hall 'P 1'
_cell_length_a 5.338
_cell_length_b 5.338
_cell_length_c 4.306
_cell_angle_alpha 90.00
_cell_angle_beta 90.00
_cell_angle_gamma 90.00
loop_
_atom_site_label
_atom_site_type_symbol
_atom_site_fract_x
_atom_site_fract_y
_atom_site_fract_z
Sc1 Sc 0.500 0.500 0.500
Sr1 Sr 0.000 0.000 0.000
P1 P 0.500 0.000 0.000
P2 P 0.000 0.500 0.000
O1 O 0.000 0.000 0.500

# SrScPO2 (PBE-GGA, optimized geometry)
# Space group: No. 123
# Relative energy among the computed polymorphs, eV per atom: 1.257
data_SrScPO2
_symmetry_space_group_name_H-M 'P 1'
_symmetry_Int_Tables_number 1
_symmetry_space_group_name_Hall 'P 1'
_cell_length_a 4.329
_cell_length_b 4.329
_cell_length_c 5.728
_cell_angle_alpha 90.00
_cell_angle_beta 90.00
_cell_angle_gamma 90.00
loop_
_atom_site_label
_atom_site_type_symbol
_atom_site_fract_x
_atom_site_fract_y
_atom_site_fract_z
O1 O 0.000 0.500 0.000
Sr1 Sr 0.000 0.000 0.000
Sc1 Sc 0.500 0.500 0.500
O2 O 0.500 0.000 0.000
P1 P 0.000 0.000 0.500

# SrScP2O (PBE-GGA, optimized geometry)
# Space group: No. 123
# Relative energy among the computed polymorphs, eV per atom: 0.000
data_SrScP2O
_symmetry_space_group_name_H-M 'P 1'
_symmetry_Int_Tables_number 1
_symmetry_space_group_name_Hall 'P 1'
_cell_length_a 5.202
_cell_length_b 5.202
_cell_length_c 4.047
_cell_angle_alpha 90.00
_cell_angle_beta 90.00
_cell_angle_gamma 90.00
loop_
_atom_site_label
_atom_site_type_symbol
_atom_site_fract_x
_atom_site_fract_y
_atom_site_fract_z
P1 P 0.500 0.000 0.000
O1 O 0.000 0.000 0.500
Sr1 Sr 0.500 0.500 0.500
Sc1 Sc 0.000 0.000 0.000
P2 P 0.000 0.500 0.000

# ScTcP2O (PBE-GGA, optimized geometry)
# Space group: No. 123
# Relative energy among the computed polymorphs, eV per atom: 0.000
data_ScTcP2O
_symmetry_space_group_name_H-M 'P 1'
_symmetry_Int_Tables_number 1
_symmetry_space_group_name_Hall 'P 1'
_cell_length_a 4.804
_cell_length_b 4.804
_cell_length_c 3.688
_cell_angle_alpha 90.00
_cell_angle_beta 90.00
_cell_angle_gamma 90.00
loop_
_atom_site_label
_atom_site_type_symbol
_atom_site_fract_x
_atom_site_fract_y
_atom_site_fract_z
P1 P 0.000 0.500 0.000
P2 P 0.500 0.000 0.000
Sc1 Sc 0.500 0.500 0.500
Tc1 Tc 0.000 0.000 0.000
O1 O 0.000 0.000 0.500

# ScTcP2O (PBE-GGA, optimized geometry)
# Space group: No. 123
# Relative energy among the computed polymorphs, eV per atom: 0.698
data_ScTcP2O
_symmetry_space_group_name_H-M 'P 1'
_symmetry_Int_Tables_number 1
_symmetry_space_group_name_Hall 'P 1'
_cell_length_a 5.021
_cell_length_b 5.021
_cell_length_c 3.818
_cell_angle_alpha 90.00
_cell_angle_beta 90.00
_cell_angle_gamma 90.00
loop_
_atom_site_label
_atom_site_type_symbol
_atom_site_fract_x
_atom_site_fract_y
_atom_site_fract_z
P1 P 0.000 0.500 0.000
O1 O 0.000 0.000 0.500
P2 P 0.500 0.000 0.000
Sc1 Sc 0.000 0.000 0.000
Tc1 Tc 0.500 0.500 0.500

# ScTiP2O (PBE-GGA, optimized geometry)
# Space group: No. 123
# Relative energy among the computed polymorphs, eV per atom: 0.000
data_ScTiP2O
_symmetry_space_group_name_H-M 'P 1'
_symmetry_Int_Tables_number 1
_symmetry_space_group_name_Hall 'P 1'
_cell_length_a 4.843
_cell_length_b 4.843
_cell_length_c 3.697
_cell_angle_alpha 90.00
_cell_angle_beta 90.00
_cell_angle_gamma 90.00
loop_
_atom_site_label
_atom_site_type_symbol
_atom_site_fract_x
_atom_site_fract_y
_atom_site_fract_z
P1 P 0.000 0.500 0.000
O1 O 0.000 0.000 0.500
P2 P 0.500 0.000 0.000
Ti1 Ti 0.000 0.000 0.000
Sc1 Sc 0.500 0.500 0.500

# ScTiP2O (PBE-GGA, optimized geometry)
# Space group: No. 123
# Relative energy among the computed polymorphs, eV per atom: 0.686
data_ScTiP2O
_symmetry_space_group_name_H-M 'P 1'
_symmetry_Int_Tables_number 1
_symmetry_space_group_name_Hall 'P 1'
_cell_length_a 4.961
_cell_length_b 4.961
_cell_length_c 3.818
_cell_angle_alpha 90.00
_cell_angle_beta 90.00
_cell_angle_gamma 90.00
loop_
_atom_site_label
_atom_site_type_symbol
_atom_site_fract_x
_atom_site_fract_y
_atom_site_fract_z
O1 O 0.000 0.000 0.500
P1 P 0.500 0.000 0.000
Sc1 Sc 0.000 0.000 0.000
P2 P 0.000 0.500 0.000
Ti1 Ti 0.500 0.500 0.500

# ScTlPO2 (PBE-GGA, optimized geometry)
# Space group: No. 123
# Relative energy among the computed polymorphs, eV per atom: 0.000
data_ScTlPO2
_symmetry_space_group_name_H-M 'P 1'
_symmetry_Int_Tables_number 1
_symmetry_space_group_name_Hall 'P 1'
_cell_length_a 4.034
_cell_length_b 4.034
_cell_length_c 5.640
_cell_angle_alpha 90.00
_cell_angle_beta 90.00
_cell_angle_gamma 90.00
loop_
_atom_site_label
_atom_site_type_symbol
_atom_site_fract_x
_atom_site_fract_y
_atom_site_fract_z
O1 O 0.500 0.000 0.000
P1 P 0.000 0.000 0.500
Sc1 Sc 0.000 0.000 0.000
Tl1 Tl 0.500 0.500 0.500
O2 O 0.000 0.500 0.000

# Sc6Tl2PO (PBE-GGA, optimized geometry)
# Space group: No. 123
data_Sc6Tl2PO
_symmetry_space_group_name_H-M 'P 1'
_symmetry_Int_Tables_number 1
_symmetry_space_group_name_Hall 'P 1'
_cell_length_a 4.735
_cell_length_b 4.735
_cell_length_c 9.245
_cell_angle_alpha 90.00
_cell_angle_beta 90.00
_cell_angle_gamma 90.00
loop_
_atom_site_label
_atom_site_type_symbol
_atom_site_fract_x
_atom_site_fract_y
_atom_site_fract_z
O1 O 0.500 0.500 0.500
Sc1 Sc 0.000 0.500 0.000
Sc2 Sc 0.000 0.500 0.500
P1 P 0.500 0.500 0.000
Sc3 Sc 0.500 0.500 0.732
Sc4 Sc 0.500 0.000 0.000
Tl1 Tl 0.000 0.000 0.744
Sc5 Sc 0.500 0.000 0.500
Tl2 Tl 0.000 0.000 0.256
Sc6 Sc 0.500 0.500 0.268

# ScTlPO2 (PBE-GGA, optimized geometry)
# Space group: No. 123
# Relative energy among the computed polymorphs, eV per atom: 0.921
data_ScTlPO2
_symmetry_space_group_name_H-M 'P 1'
_symmetry_Int_Tables_number 1
_symmetry_space_group_name_Hall 'P 1'
_cell_length_a 4.153
_cell_length_b 4.153
_cell_length_c 5.207
_cell_angle_alpha 90.00
_cell_angle_beta 90.00
_cell_angle_gamma 90.00
loop_
_atom_site_label
_atom_site_type_symbol
_atom_site_fract_x
_atom_site_fract_y
_atom_site_fract_z
Sc1 Sc 0.500 0.500 0.500
O1 O 0.000 0.500 0.000
O2 O 0.500 0.000 0.000
P1 P 0.000 0.000 0.500
Tl1 Tl 0.000 0.000 0.000

# ScTlP2O8 (PBE-GGA, optimized geometry)
# Space group: No. 164
data_ScTlP2O8
_symmetry_space_group_name_H-M 'P 1'
_symmetry_Int_Tables_number 1
_symmetry_space_group_name_Hall 'P 1'
_cell_length_a 5.275
_cell_length_b 5.275
_cell_length_c 6.419
_cell_angle_alpha 90.00
_cell_angle_beta 90.00
_cell_angle_gamma 120.00
loop_
_atom_site_label
_atom_site_type_symbol
_atom_site_fract_x
_atom_site_fract_y
_atom_site_fract_z
O1 O 0.345 0.172 0.284
O2 O 0.667 0.333 0.961
O3 O 0.828 0.173 0.284
Tl1 Tl 0.000 0.000 0.000
P1 P 0.667 0.333 0.195
O4 O 0.333 0.667 0.039
O5 O 0.655 0.828 0.716
P2 P 0.333 0.667 0.805
Sc1 Sc 0.000 0.000 0.500
O6 O 0.827 0.655 0.284
O7 O 0.173 0.345 0.716
O8 O 0.172 0.827 0.716

For the records above, the corresponding total magnetic moment values read 0.00 0.00 0.00 0.00 1.18 0.00 0.00 0.00 0.00 0.00 0.00 1.67 0.98 1.49 1.64 2.02 0.29 2.73 0.00 0.00 1.06 0.00 0.00 0.00 μB/cell.
For the records above, the corresponding formation energy (no corrections) values read -1380 -921 -2089 -1828 -855 -606 -1546 -801 -2077 -87 -427 -1699 -2641 272 -442 -1014 -523 175 -1040 -354 -1097 -1009 -176 -2118 meV/atom.